[1]
{
  "formula": "VFeSi2",
  "functional": "GGA-PBE",
  "state": "optimized geometry",
  "lattice_angstrom": [[2.7297, 0.0000, 0.0000], [0.0000, 2.7297, 0.0000], [0.0000, 0.0000, 6.3067]],
  "species": ["V", "Fe", "Si", "Si"],
  "frac_coords": [[0.0000, 0.0000, 0.0000], [0.0000, 0.0000, 0.5000], [0.5000, 0.5000, 0.2798], [0.5000, 0.5000, 0.7202]],
  "formation_energy_uncorrected_ev_per_atom": -0.36,
  "spacegroup": "P4/mmm"
}



[2]
{
  "formula": "ZnAsRu2",
  "functional": "GGA-PBE",
  "state": "optimized geometry",
  "lattice_angstrom": [[2.9327, 0.0000, 0.0000], [0.0000, 3.7948, 0.0000], [-1.3309, 0.0000, 5.2941]],
  "species": ["Zn", "As", "Ru", "Ru"],
  "frac_coords": [[0.0000, 0.0000, 0.0000], [0.0000, 0.0000, 0.5000], [0.3642, 0.5000, 0.7371], [0.6358, 0.5000, 0.2629]],
  "spacegroup": "P2/m",
  "ef_ev_per_atom": 0.02
}



[3]
{
  "formula": "Ba2Li17",
  "functional": "GGA-PBE",
  "state": "optimized geometry",
  "lattice_angstrom": [[5.2354, 3.0226, 5.1240], [-5.2354, 3.0226, 5.1240], [0.0000, -6.0453, 5.1240]],
  "species": ["Ba", "Ba", "Li", "Li", "Li", "Li", "Li", "Li", "Li", "Li", "Li", "Li", "Li", "Li", "Li", "Li", "Li", "Li", "Li"],
  "frac_coords": [[0.1534, 0.1534, 0.1534], [0.8466, 0.8466, 0.8466], [0.0000, 0.5000, 0.5000], [0.1624, 0.1624, 0.6402], [0.1624, 0.6402, 0.1624], [0.2167, 0.5000, 0.7833], [0.2167, 0.7833, 0.5000], [0.3598, 0.8376, 0.8376], [0.4075, 0.4075, 0.4075], [0.5000, 0.0000, 0.5000], [0.5000, 0.2167, 0.7833], [0.5000, 0.5000, 0.0000], [0.5000, 0.7833, 0.2167], [0.5925, 0.5925, 0.5925], [0.6402, 0.1624, 0.1624], [0.7833, 0.2167, 0.5000], [0.7833, 0.5000, 0.2167], [0.8376, 0.3598, 0.8376], [0.8376, 0.8376, 0.3598]],
  "spacegroup": "R-3m",
  "ef_ev_per_atom": 0.02
}



Number 1: uncorrected energy -7.470 eV/atom. Number 2: uncorrected energy -6.099 eV/atom. Number 3: uncorrected energy -1.892 eV/atom.